[1]
PBE-GGA BeAg, relaxed; formation energy from the elements = 0.55 eV per atom; crystal system = hexagonal; DOS at the Fermi energy = 1.2 states/eV per cell
1.0
-1.320 5.213 -0.594
0.970 -3.058 -4.356
-3.650 -0.941 -0.152
Ag Be
3 3
direct
0.447 0.000 0.000 Ag
0.553 0.553 0.000 Ag
0.000 0.447 0.000 Ag
0.667 0.333 0.500 Be
0.333 0.667 0.500 Be
0.000 0.000 0.000 Be


[2]
PBE-GGA TaMn2Os, relaxed; formation energy from the elements = 0.06 eV per atom; crystal system = monoclinic; DOS at the Fermi energy = 3.6 states/eV per cell
1.0
4.891 -0.005 0.004
-2.035 4.447 0.004
0.421 0.654 2.594
Os Mn Ta
1 2 1
direct
0.500 0.000 0.500 Os
0.000 0.000 0.000 Mn
0.500 0.500 0.000 Mn
0.000 0.500 0.500 Ta


[3]
PBE-GGA Fe6MoPd12, relaxed; formation energy from the elements = -0.05 eV per atom; crystal system = trigonal; DOS at the Fermi energy = 19.5 states/eV per cell
1.0
-5.668 -2.361 2.644
2.134 -4.609 -5.173
1.394 -6.552 2.772
Fe Pd Mo
6 12 1
direct
0.419 0.469 0.218 Fe
0.050 0.687 0.531 Fe
0.581 0.531 0.782 Fe
0.950 0.313 0.469 Fe
0.637 0.218 0.313 Fe
0.363 0.782 0.687 Fe
0.886 0.625 0.952 Pd
0.473 0.148 0.732 Pd
0.739 0.577 0.375 Pd
0.794 0.268 0.881 Pd
0.162 0.048 0.577 Pd
0.325 0.119 0.148 Pd
0.838 0.952 0.423 Pd
0.206 0.732 0.119 Pd
0.261 0.423 0.625 Pd
0.114 0.375 0.048 Pd
0.675 0.881 0.852 Pd
0.527 0.852 0.268 Pd
0.000 0.000 0.000 Mo